Entry 1:
Below is a geometry-optimized PrScGaPb structure, with properties calculated at the PBE level.

Cell lengths 5.254, 5.254, 5.254 Å; angles 60.00, 60.00, 60.00 degrees
Fractional positions:
Sc 0.750 0.750 0.750
Pb 0.000 0.000 0.000
Ga 0.500 0.500 0.500
Pr 0.250 0.250 0.250

Output
SG: F-43m (216)
Crystal system: cubic
Size of the total moment (Bohr magnetons per cell): 0.0
Energy of formation from the pure elements (meV/atom): -380

=====

Entry 2:
Below is a geometry-optimized LiNdBe2H6 structure, with properties calculated at the PBE level.

Cell lengths 4.349, 4.349, 5.687 Å; angles 67.52, 67.52, 60.00 degrees
Fractional positions:
Nd 0.000 0.000 0.000
Be 0.781 0.781 0.657
Li 0.500 0.500 0.500
H 0.923 0.429 0.219
Be 0.219 0.219 0.343
H 0.571 0.077 0.781
H 0.429 0.429 0.219
H 0.077 0.571 0.781
H 0.571 0.571 0.781
H 0.429 0.923 0.219

Output
SG: R-3m (166)
Crystal system: trigonal
Total DFT energy (no corrections) (eV per formula unit): -36.8
Size of the total moment (Bohr magnetons per cell): 0.0

=====

Entry 3:
Below is a geometry-optimized CaSmAl2 structure, with properties calculated at the PBE level.

Cell lengths 5.218, 5.218, 5.218 Å; angles 60.00, 60.00, 60.00 degrees
Fractional positions:
Al 0.750 0.750 0.750
Ca 0.500 0.500 0.500
Sm 0.000 0.000 0.000
Al 0.250 0.250 0.250

Output
Relative energy among the computed polymorphs (eV per atom): 0.015
SG: Fm-3m (225)
Crystal system: cubic
Size of the total moment (Bohr magnetons per cell): 0.0
Energy of formation from the pure elements (meV/atom): -267

=====

Entry 4:
Below is a geometry-optimized ErScZn structure, with properties calculated at the PBE level.

Cell lengths 3.434, 3.434, 6.347 Å; angles 105.69, 105.69, 90.00 degrees
Fractional positions:
Er 0.017 0.017 0.033
Zn 0.676 0.676 0.353
Sc 0.307 0.307 0.614

Output
Relative energy among the computed polymorphs (eV per atom): 0.000
SG: I4mm (107)
Crystal system: tetragonal
Size of the total moment (Bohr magnetons per cell): 0.0
Energy of formation from the pure elements (meV/atom): -206

=====

> Which formula does entry 1 have?

PrScGaPb